1.
Entry from the Alexandria database: a geometry-optimized Er2HgIr2 structure (GGA-PBE).

Cell: 4.429 5.479 5.479 Å, 65.75 66.16 66.16°
Atoms (fractional coordinates):
Er1 0.291 0.209 0.709
Er2 0.709 0.791 0.291
Hg1 0.500 0.500 0.000
Ir1 0.000 0.211 0.289
Ir2 0.000 0.789 0.711

Computed properties:
- E (eV per atom) = -6.12



2.
Entry from the Alexandria database: a geometry-optimized PrHo2Pb structure (GGA-PBE).

Cell: 3.619 3.619 11.283 Å, 80.77 80.77 60.00°
Atoms (fractional coordinates):
Pr1 0.500 0.500 0.500
Ho1 0.078 0.078 0.765
Ho2 0.255 0.255 0.234
Pb1 0.667 0.667 0.000

Computed properties:
- relative energy among the computed polymorphs (meV/atom) = 167
- E (eV per atom) = -4.55



3.
Entry from the Alexandria database: a geometry-optimized K5H4F structure (GGA-PBE).

Cell: 3.969 5.614 10.541 Å, 105.44 100.85 90.00°
Atoms (fractional coordinates):
K1 0.595 0.095 0.190
K2 0.800 0.300 0.599
K3 0.200 0.700 0.401
K4 0.000 0.500 0.000
K5 0.405 0.905 0.810
H1 0.402 0.402 0.803
H2 0.801 0.801 0.603
H3 0.199 0.199 0.397
H4 0.598 0.598 0.197
F1 0.000 0.000 0.000

Computed properties:
- E (eV per atom) = -2.79



4.
Entry from the Alexandria database: a geometry-optimized CoCuSi2 structure (GGA-PBE).

Cell: 2.623 2.623 7.235 Å, 90.00 90.00 90.00°
Atoms (fractional coordinates):
Co1 0.000 0.000 0.486
Cu1 0.500 0.500 0.736
Si1 0.000 0.000 0.982
Si2 0.500 0.500 0.296

Computed properties:
- formation energy (no corrections) (meV/atom) = 73
- E (eV per atom) = -5.44



5.
Entry from the Alexandria database: a geometry-optimized LiPtAu structure (GGA-PBE).

Cell: 7.357 7.113 2.757 Å, 84.06 74.06 21.88°
Atoms (fractional coordinates):
Au1 0.989 0.989 0.011
Li1 0.331 0.331 0.669
Pt1 0.680 0.680 0.320

Computed properties:
- E (eV per atom) = -4.07



6.
Entry from the Alexandria database: a geometry-optimized NaTmZnF6 structure (GGA-PBE).

Cell: 5.615 5.615 9.677 Å, 90.00 90.00 120.00°
Atoms (fractional coordinates):
Na1 0.000 0.000 0.000
Na2 0.000 0.000 0.500
Tm1 0.667 0.333 0.250
Tm2 0.333 0.667 0.750
Zn1 0.333 0.667 0.250
Zn2 0.667 0.333 0.750
F1 0.638 0.649 0.137
F2 0.011 0.362 0.137
F3 0.362 0.011 0.637
F4 0.989 0.638 0.863
F5 0.351 0.362 0.363
F6 0.011 0.649 0.363
F7 0.649 0.011 0.863
F8 0.638 0.989 0.363
F9 0.989 0.351 0.637
F10 0.351 0.989 0.137
F11 0.649 0.638 0.637
F12 0.362 0.351 0.863

Computed properties:
- formation energy (no corrections) (meV/atom) = -3208
- E (eV per atom) = -5.24



7.
Entry from the Alexandria database: a geometry-optimized TbCeHg3 structure (GGA-PBE).

Cell: 3.517 5.007 14.903 Å, 90.00 96.78 90.00°
Atoms (fractional coordinates):
Tb1 0.211 0.750 0.423
Tb2 0.789 0.250 0.577
Ce1 0.925 0.750 0.849
Ce2 0.075 0.250 0.151
Hg1 0.623 0.750 0.245
Hg2 0.377 0.250 0.755
Hg3 0.524 0.750 0.049
Hg4 0.476 0.250 0.951
Hg5 0.681 0.250 0.362
Hg6 0.319 0.750 0.638

Computed properties:
- relative energy among the computed polymorphs (meV/atom) = 0
- E (eV per atom) = -2.67



8.
Entry from the Alexandria database: a geometry-optimized LiYOs2 structure (GGA-PBE).

Cell: 5.365 5.365 5.365 Å, 145.99 129.64 62.16°
Atoms (fractional coordinates):
Li1 0.750 0.250 0.500
Os1 0.995 0.995 0.000
Os2 0.505 0.505 0.000
Y1 0.250 0.750 0.500

Computed properties:
- relative energy among the computed polymorphs (meV/atom) = 112
- E (eV per atom) = -7.40



9.
Entry from the Alexandria database: a geometry-optimized Cr2CdPb structure (GGA-PBE).

Cell: 3.390 5.465 5.912 Å, 49.50 90.00 90.00°
Atoms (fractional coordinates):
Cd1 0.000 0.000 0.500
Cr1 0.000 0.000 0.000
Cr2 0.500 0.500 0.000
Pb1 0.500 0.500 0.500

Computed properties:
- E (eV per atom) = -5.30



10.
Entry from the Alexandria database: a geometry-optimized PmSc3Ni8 structure (GGA-PBE).

Cell: 4.948 4.948 8.616 Å, 73.31 73.31 60.00°
Atoms (fractional coordinates):
Pm1 0.876 0.876 0.372
Sc1 0.373 0.373 0.880
Sc2 0.003 0.003 0.991
Sc3 0.495 0.495 0.514
Ni1 0.941 0.440 0.179
Ni2 0.432 0.937 0.693
Ni3 0.440 0.440 0.179
Ni4 0.937 0.937 0.693
Ni5 0.187 0.187 0.439
Ni6 0.688 0.688 0.937
Ni7 0.440 0.941 0.179
Ni8 0.937 0.432 0.693

Computed properties:
- relative energy among the computed polymorphs (meV/atom) = 0
- E (eV per atom) = -6.30



11.
Entry from the Alexandria database: a geometry-optimized LaSbSe structure (GGA-PBE).

Cell: 4.232 5.376 8.698 Å, 93.37 90.07 112.04°
Atoms (fractional coordinates):
La1 0.382 0.372 0.391
La2 0.621 0.849 0.012
Sb1 0.997 0.614 0.690
Sb2 0.309 0.214 0.766
Se1 0.679 0.955 0.359
Se2 0.939 0.475 0.131

Computed properties:
- formation energy (no corrections) (meV/atom) = -1270
- E (eV per atom) = -5.45



Among the records above, which one has the highest E?
TbCeHg3



Which of these has the highest E?
TbCeHg3